# 1
Entry from Alexandria: crystalline Hf6Bi2Os at its relaxed geometry (PBE).

Cell lengths 5.7616, 7.4993, 9.5977 Å; angles 90.00, 91.55, 90.00 degrees
With the nearest neighbours (Å) after each atom.
Atoms (fractional coordinates):
Hf  0.3686  0.8298  0.0329  1 Os 2.61
Hf  0.6289  0.4705  0.2643  1 Os 2.63
Hf  0.3711  0.5295  0.7357  1 Os 2.63
Hf  0.3803  0.7983  0.4641  1 Os 2.69, 1 Bi 2.97
Hf  0.6314  0.1702  0.9671  1 Os 2.61
Hf  0.8686  0.6702  0.5329  1 Os 2.61
Hf  0.1314  0.3298  0.4671  1 Os 2.61
Hf  0.8711  0.9705  0.2357  1 Os 2.63
Hf  0.1289  0.0295  0.7643  1 Os 2.63
Hf  0.1197  0.2983  0.0359  1 Os 2.69, 1 Bi 2.97
Hf  0.8803  0.7017  0.9641  1 Os 2.69, 1 Bi 2.97
Hf  0.6197  0.2017  0.5359  1 Os 2.69, 1 Bi 2.97
Bi  0.3870  0.1038  0.2564  9 Hf 2.97-3.19
Bi  0.6130  0.8962  0.7436  9 Hf 2.97-3.19
Bi  0.1130  0.6038  0.2436  9 Hf 2.97-3.19
Bi  0.8870  0.3962  0.7564  9 Hf 2.97-3.19
Os  0.5000  0.5000  0.0000  6 Hf 2.61-2.69
Os  0.0000  0.0000  0.5000  6 Hf 2.61-2.69

Its space group is P2_1/c, No. 14. For the density of states at the Fermi level, the calculation gives 5.5 states/eV/f.u. As for the formation energy: -0.023 eV per atom.

=====

# 2
Entry from Alexandria: crystalline Ti2GaHg2 at its relaxed geometry (PBE).

Cell lengths 6.8613, 6.8613, 4.2340 Å; angles 90.00, 90.00, 90.00 degrees
With the nearest neighbours (Å) after each atom.
Atoms (fractional coordinates):
Hg  0.6595  0.8405  0.5000  6 Ti 2.87-2.96, 1 Hg 3.10
Hg  0.8405  0.3405  0.5000  6 Ti 2.87-2.96, 1 Hg 3.10
Hg  0.1595  0.6595  0.5000  6 Ti 2.87-2.96, 1 Hg 3.10
Hg  0.3405  0.1595  0.5000  6 Ti 2.87-2.96, 1 Hg 3.10
Ga  0.5000  0.5000  0.0000  4 Ti 2.65
Ga  0.0000  0.0000  0.0000  4 Ti 2.65
Ti  0.8588  0.6412  0.0000  2 Ga 2.65, 1 Ti 2.74, 6 Hg 2.87-2.96
Ti  0.6412  0.1412  0.0000  2 Ga 2.65, 1 Ti 2.74, 6 Hg 2.87-2.96
Ti  0.3588  0.8588  0.0000  2 Ga 2.65, 1 Ti 2.74, 6 Hg 2.87-2.96
Ti  0.1412  0.3588  0.0000  2 Ga 2.65, 1 Ti 2.74, 6 Hg 2.87-2.96

Its space group is P4/mbm, No. 127. For the density of states at the Fermi level, the calculation gives 2.9 states/eV/f.u. The energy relative to the lowest polymorph listed for this composition comes out at 0 meV per atom. As for the formation energy: 0.058 eV per atom.

=====

# 3
Entry from Alexandria: crystalline FeSiIr3 at its relaxed geometry (PBE).

Cell lengths 4.4449, 4.4449, 4.4449 Å; angles 90.00, 90.00, 90.00 degrees
With the nearest neighbours (Å) after each atom.
Atoms (fractional coordinates):
Fe  0.0000  0.0000  0.0000  6 Ir 2.22
Si  0.5000  0.5000  0.5000  12 Ir 3.14
Ir  0.5000  0.0000  0.0000  2 Fe 2.22
Ir  0.0000  0.5000  0.0000  2 Fe 2.22
Ir  0.0000  0.0000  0.5000  2 Fe 2.22

Its space group is Pm-3m, No. 221. Its uncorrected formation energy is 1491.5 meV/atom. For the density of states at the Fermi level, the calculation gives 6.3 states/eV/f.u. The energy relative to the lowest polymorph listed for this composition comes out at 361 meV per atom.